[1]
16
Lattice="6.430 0.000 0.000 0.000 9.042 0.000 0.000 0.000 5.904" Properties=species:S:1:pos:R:3 comment="PBE CsHfNO, optimized geometry" de_polymorph_mev_per_atom=0 space_group="No. 29" total_magnetization_mub_per_atom=0.0007 crystal_system=orthorhombic pbc="T T T"
Cs 0.309 3.288 0.123
Cs 3.524 5.754 0.123
Cs 2.906 3.288 3.075
Cs 6.121 5.754 3.075
Hf 5.856 0.805 2.937
Hf 2.641 8.237 2.937
Hf 3.789 0.805 5.889
Hf 0.574 8.237 5.889
N 5.567 0.359 0.929
N 2.352 8.682 0.929
N 4.078 0.359 3.881
N 0.863 8.682 3.881
O 3.410 2.672 0.158
O 0.195 6.370 0.158
O 6.235 2.672 3.110
O 3.020 6.370 3.110

***

[2]
4
Lattice="0.000 3.377 3.377 3.377 0.000 3.377 3.377 3.377 0.000" Properties=species:S:1:pos:R:3 comment="PBE TaCuHgSb, optimized geometry" de_polymorph_mev_per_atom=0 space_group="No. 216" total_magnetization_mub_per_atom=0.0050 crystal_system=cubic pbc="T T T"
Cu 5.065 5.065 5.065
Hg 3.377 3.377 3.377
Sb 0.000 0.000 0.000
Ta 1.688 1.688 1.688

***

[3]
36
Lattice="5.039 0.000 0.000 0.000 5.837 0.000 -0.150 0.000 31.418" Properties=species:S:1:pos:R:3 comment="PBE Ag17Bi, optimized geometry" energy_ev_per_atom=-2.841 space_group="No. 11" crystal_system=monoclinic pbc="T T T"
Ag 1.677 2.919 6.128
Ag 4.201 1.487 6.151
Ag 4.201 4.350 6.151
Ag 2.481 1.441 8.523
Ag 2.481 4.396 8.523
Ag -0.012 0.000 8.545
Ag -0.036 2.919 8.578
Ag 3.288 2.919 10.921
Ag 3.326 0.000 10.939
Ag 0.793 1.460 10.957
Ag 0.793 4.378 10.957
Ag 1.624 0.000 13.329
Ag 4.133 1.471 13.330
Ag 4.133 4.366 13.330
Ag 1.613 2.919 13.349
Ag 4.964 0.000 15.683
Ag 2.445 1.459 15.709
Ag 2.445 4.378 15.709
Ag -0.074 2.919 15.735
Ag 3.277 0.000 18.069
Ag 0.756 1.447 18.088
Ag 0.756 4.390 18.088
Ag 3.265 2.919 18.089
Ag 4.096 1.459 20.462
Ag 4.096 4.378 20.462
Ag 1.563 2.919 20.479
Ag 1.601 0.000 20.498
Ag 4.925 0.000 22.841
Ag 4.901 2.919 22.874
Ag 2.408 1.477 22.895
Ag 2.408 4.360 22.895
Ag 0.689 1.431 25.268
Ag 0.689 4.406 25.268
Ag 3.212 0.000 25.290
Bi 1.688 0.000 5.570
Bi 3.201 2.919 25.844

***

[4]
8
Lattice="-1.701 -2.946 0.000 0.000 0.000 6.379 -5.373 3.102 0.000" Properties=species:S:1:pos:R:3 comment="PBE KIrNO, optimized geometry" de_polymorph_mev_per_atom=171 space_group="No. 26" total_magnetization_mub_per_atom=0.0000 crystal_system=orthorhombic pbc="T T T"
Ir -1.321 -1.201 6.330
Ir -5.754 1.358 3.141
K -2.013 1.162 3.423
K -3.360 1.940 0.234
N -1.075 0.621 5.920
N -4.298 2.481 2.730
O -1.749 -0.954 1.895
O -5.325 1.110 5.085

***

[5]
4
Lattice="1.569 -3.393 1.995 -2.299 -3.549 0.272 1.126 -3.429 -2.219" Properties=species:S:1:pos:R:3 comment="PBE SiNiMoOs, optimized geometry" energy_ev_per_atom=-8.241 space_group="No. 216" total_magnetization_mub_per_atom=0.0031 crystal_system=cubic pbc="T T T"
Mo 0.099 -2.593 0.012
Ni 0.297 -7.778 0.036
Os 0.198 -5.185 0.024
Si 0.000 0.000 0.000

***

[6]
16
Lattice="5.856 0.000 0.000 0.000 4.150 0.000 0.000 0.000 8.301" Properties=species:S:1:pos:R:3 comment="PBE LiAl2Ni, optimized geometry" energy_ev_per_atom=-4.212 space_group="No. 59" total_magnetization_mub_per_atom=0.0011 crystal_system=orthorhombic pbc="T T T"
Al 0.001 3.112 1.039
Al 2.928 3.112 1.039
Al 0.000 1.037 3.111
Al 2.929 1.037 3.111
Al 2.927 3.112 5.190
Al 0.000 3.112 5.190
Al 2.928 1.037 7.262
Al 5.855 1.037 7.262
Li 1.464 1.037 1.035
Li 4.392 3.112 3.116
Li 1.463 1.037 5.185
Li 4.391 3.112 7.266
Ni 4.392 1.037 1.036
Ni 1.464 3.112 3.114
Ni 4.392 1.037 5.187
Ni 1.464 3.112 7.265

***

Which formula does entry 5 have?
SiNiMoOs